(1)
Here is an optimized crystal structure of CaGdAlCd from Alexandria. Energies are from PBE-GGA.

Values from the calculation:
Calculated formation energy = -7.477 kcal/mol of atoms

Unit cell a=5.2866 b=5.2866 c=5.2866 alpha=60.00 beta=60.00 gamma=60.00
Sites, in units of the cell vectors:
Ca: 0.0000 0.0000 0.0000
Gd: 0.5000 0.5000 0.5000
Al: 0.7500 0.7500 0.7500
Cd: 0.2500 0.2500 0.2500



(2)
Here is an optimized crystal structure of Mg2CdAg from Alexandria. Energies are from PBE-GGA.

Values from the calculation:
Offset from the most stable computed form = 0.042 eV/atom
Calculated formation energy = -3.067 kcal/mol of atoms

Unit cell a=5.6497 b=5.6497 c=4.9627 alpha=107.45 beta=107.45 gamma=32.64
Sites, in units of the cell vectors:
Mg: 0.0000 0.0000 0.0000
Mg: 0.2189 0.2189 0.6529
Cd: 0.7555 0.7555 0.1782
Ag: 0.4840 0.4840 0.4990



(3)
Here is an optimized crystal structure of Tm2Al3Ga3 from Alexandria. Energies are from PBE-GGA.

Values from the calculation:
Calculated formation energy = -10.611 kcal/mol of atoms

Unit cell a=4.2372 b=4.2553 c=8.3761 alpha=90.00 beta=90.00 gamma=90.00
Sites, in units of the cell vectors:
Tm: 0.0000 0.0000 0.2467
Tm: 0.0000 0.0000 0.7533
Al: 0.0000 0.5000 0.5000
Al: 0.5000 0.5000 0.2530
Al: 0.5000 0.5000 0.7470
Ga: 0.0000 0.5000 0.0000
Ga: 0.5000 0.0000 0.0000
Ga: 0.5000 0.0000 0.5000



(4)
Here is an optimized crystal structure of Li2PuCuCl8 from Alexandria. Energies are from PBE-GGA.

Values from the calculation:
Formation energy (no corrections) = -1379 meV/atom

Unit cell a=6.4620 b=6.5089 c=7.6227 alpha=85.46 beta=86.01 gamma=76.66
Sites, in units of the cell vectors:
Li: 0.0461 0.0598 0.2681
Li: 0.9539 0.9402 0.7319
Pu: 0.5000 0.5000 0.0000
Cu: 0.5000 0.5000 0.5000
Cl: 0.2302 0.8590 0.9805
Cl: 0.2306 0.8089 0.4972
Cl: 0.2507 0.3466 0.2266
Cl: 0.3274 0.3638 0.7433
Cl: 0.6726 0.6362 0.2567
Cl: 0.7493 0.6534 0.7734
Cl: 0.7694 0.1911 0.5028
Cl: 0.7698 0.1410 0.0195



no.,uncorrected energy (Ry per atom)
1,-0.40492
2,-0.13758
3,-0.30256
4,-0.32816